Entry 1:
VASP calculation (GGA-PBE) on a geometry-optimized AlTlSn2 structure.

```
AlTlSn2
1.0
4.3554 0.0000 0.0000
-2.1777 3.7719 0.0000
0.0000 0.0000 21.0231
Al Tl Sn
3 3 6
Direct
0.0000 0.0000 0.0000 Al
0.3333 0.6667 0.6667 Al
0.6667 0.3333 0.3333 Al
0.0000 0.0000 0.8336 Tl
0.3333 0.6667 0.5003 Tl
0.6667 0.3333 0.1669 Tl
0.0000 0.0000 0.3972 Sn
0.0000 0.0000 0.6028 Sn
0.3333 0.6667 0.0638 Sn
0.3333 0.6667 0.2694 Sn
0.6667 0.3333 0.7305 Sn
0.6667 0.3333 0.9361 Sn
```

Size of the total moment in μB per atom: 0.0000
Formation energy from the elements in eV/atom: 0.142
Total energy in eV/atom: -3.39
Relative energy among the computed polymorphs in meV per atom: 65



Entry 2:
VASP calculation (GGA-PBE) on a geometry-optimized AlTlSn2 structure.

```
AlTlSn2
1.0
4.1717 0.0000 0.0000
-2.0858 3.6128 0.0000
0.0000 0.0000 22.4146
Al Tl Sn
3 3 6
Direct
0.0000 0.0000 0.0000 Al
0.3333 0.6667 0.6667 Al
0.6667 0.3333 0.3333 Al
0.0000 0.0000 0.5000 Tl
0.3333 0.6667 0.1667 Tl
0.6667 0.3333 0.8333 Tl
0.0000 0.0000 0.2671 Sn
0.0000 0.0000 0.7329 Sn
0.3333 0.6667 0.3995 Sn
0.3333 0.6667 0.9338 Sn
0.6667 0.3333 0.0662 Sn
0.6667 0.3333 0.6005 Sn
```

Size of the total moment in μB per atom: 0.0000
Formation energy from the elements in eV/atom: 0.141
Total energy in eV/atom: -3.39
Relative energy among the computed polymorphs in meV per atom: 64



Entry 3:
VASP calculation (GGA-PBE) on a geometry-optimized Al2TlSn structure.

```
Al2TlSn
1.0
7.9787 0.0000 0.0000
0.0000 7.9787 0.0000
0.0000 0.0000 6.1292
Al Tl Sn
8 4 4
Direct
0.2329 0.2500 0.1250 Al
0.2500 0.7329 0.3750 Al
0.2500 0.7671 0.8750 Al
0.2671 0.2500 0.6250 Al
0.7329 0.7500 0.6250 Al
0.7500 0.2329 0.8750 Al
0.7500 0.2671 0.3750 Al
0.7671 0.7500 0.1250 Al
0.0000 0.0000 0.5000 Tl
0.0000 0.5000 0.7500 Tl
0.5000 0.0000 0.2500 Tl
0.5000 0.5000 0.0000 Tl
0.0000 0.0000 0.0000 Sn
0.0000 0.5000 0.2500 Sn
0.5000 0.0000 0.7500 Sn
0.5000 0.5000 0.5000 Sn
```

Size of the total moment in μB per atom: 0.0000
Formation energy from the elements in eV/atom: 0.283
Total energy in eV/atom: -3.18
Relative energy among the computed polymorphs in meV per atom: 28



Entry 4:
VASP calculation (GGA-PBE) on a geometry-optimized AlTl3Sn structure.

```
AlTl3Sn
1.0
5.8118 0.0000 0.0000
0.0000 5.8118 0.0000
0.0000 0.0000 5.8118
Al Tl Sn
1 3 1
Direct
0.0000 0.0000 0.0000 Al
0.0000 0.5000 0.5000 Tl
0.5000 0.0000 0.5000 Tl
0.5000 0.5000 0.0000 Tl
0.5000 0.5000 0.5000 Sn
```

Size of the total moment in μB per atom: 0.0000
Formation energy from the elements in eV/atom: 0.629
Total energy in eV/atom: -2.34
Relative energy among the computed polymorphs in meV per atom: 270



Entry 5:
VASP calculation (GGA-PBE) on a geometry-optimized Al2TlSn2 structure.

```
Al2TlSn2
1.0
8.2810 0.0000 0.0000
0.0000 8.2810 0.0000
0.0000 0.0000 3.5714
Al Tl Sn
4 2 4
Direct
0.1249 0.3751 0.0000 Al
0.3751 0.8751 0.0000 Al
0.6249 0.1249 0.0000 Al
0.8751 0.6249 0.0000 Al
0.0000 0.0000 0.0000 Tl
0.5000 0.5000 0.0000 Tl
0.1653 0.6653 0.5000 Sn
0.3347 0.1653 0.5000 Sn
0.6653 0.8347 0.5000 Sn
0.8347 0.3347 0.5000 Sn
```

Size of the total moment in μB per atom: 0.0000
Formation energy from the elements in eV/atom: 0.145
Total energy in eV/atom: -3.43
Relative energy among the computed polymorphs in meV per atom: 27



Entry 6:
VASP calculation (GGA-PBE) on a geometry-optimized Al2TlSn structure.

```
Al2TlSn
1.0
7.2231 0.0000 0.0000
0.0000 7.2231 0.0000
0.0000 0.0000 7.2231
Al Tl Sn
8 4 4
Direct
0.2500 0.2500 0.2500 Al
0.2500 0.2500 0.7500 Al
0.2500 0.7500 0.2500 Al
0.2500 0.7500 0.7500 Al
0.7500 0.2500 0.2500 Al
0.7500 0.2500 0.7500 Al
0.7500 0.7500 0.2500 Al
0.7500 0.7500 0.7500 Al
0.0000 0.0000 0.0000 Tl
0.0000 0.5000 0.5000 Tl
0.5000 0.0000 0.5000 Tl
0.5000 0.5000 0.0000 Tl
0.0000 0.0000 0.5000 Sn
0.0000 0.5000 0.0000 Sn
0.5000 0.0000 0.0000 Sn
0.5000 0.5000 0.5000 Sn
```

Size of the total moment in μB per atom: 0.0000
Formation energy from the elements in eV/atom: 0.255
Total energy in eV/atom: -3.21
Relative energy among the computed polymorphs in meV per atom: 0



Entry 7:
VASP calculation (GGA-PBE) on a geometry-optimized AlTl2Sn structure.

```
AlTl2Sn
1.0
4.4293 0.0000 0.0000
0.0000 4.4293 0.0000
0.0000 0.0000 22.6330
Al Tl Sn
4 8 4
Direct
0.0000 0.0000 0.0000 Al
0.0000 0.5000 0.2500 Al
0.5000 0.0000 0.7500 Al
0.5000 0.5000 0.5000 Al
0.2440 0.2500 0.1250 Tl
0.2500 0.7440 0.3750 Tl
0.2500 0.7560 0.8750 Tl
0.2560 0.2500 0.6250 Tl
0.7440 0.7500 0.6250 Tl
0.7500 0.2440 0.8750 Tl
0.7500 0.2560 0.3750 Tl
0.7560 0.7500 0.1250 Tl
0.0000 0.0000 0.5000 Sn
0.0000 0.5000 0.7500 Sn
0.5000 0.0000 0.2500 Sn
0.5000 0.5000 0.0000 Sn
```

Size of the total moment in μB per atom: 0.0000
Formation energy from the elements in eV/atom: 0.237
Total energy in eV/atom: -2.88



Entry 8:
VASP calculation (GGA-PBE) on a geometry-optimized Al2TlSn2 structure.

```
Al2TlSn2
1.0
4.8395 0.0000 0.0000
0.0000 4.8395 0.0000
0.0000 0.0000 11.3944
Al Tl Sn
4 2 4
Direct
0.0000 0.0000 0.1126 Al
0.0000 0.0000 0.8874 Al
0.5000 0.5000 0.3874 Al
0.5000 0.5000 0.6126 Al
0.0000 0.0000 0.5000 Tl
0.5000 0.5000 0.0000 Tl
0.0000 0.5000 0.2500 Sn
0.0000 0.5000 0.7500 Sn
0.5000 0.0000 0.2500 Sn
0.5000 0.0000 0.7500 Sn
```

Size of the total moment in μB per atom: 0.0000
Formation energy from the elements in eV/atom: 0.117
Total energy in eV/atom: -3.45
Relative energy among the computed polymorphs in meV per atom: 0



Which formula does entry 3 have?
Al2TlSn



total energy of number 5 (Al2TlSn2)?
-3.43 eV/atom



What is the size of the total moment in the fourth record?
0.0000 μB per atom



Which value of total energy does entry 1 give?
-3.39 eV/atom